Record 1
Li2Np2Br2O5 | the Alexandria database | GGA-PBE | relaxed; formation energy (no corrections) = -2.31 eV per atom; total DFT energy (no corrections) = -0.278 hartree per atom; calculated volume = 227.4 Å³/f.u.; D(E_F) = 0.867 states/eV/atom; crystal system = tetragonal
1.0
-0.4209 -1.8118 -3.7648
-3.6078 -1.7508 1.2459
-4.4576 12.0994 -2.9826
Li Np Br O
2 2 2 5
Cartesian
-4.7298 7.5407 -3.1001
-3.7565 0.9962 -2.4014
-1.0423 1.6618 -0.6832
-7.4440 6.8751 -4.8183
-2.4532 3.9111 -1.6079
-6.0331 4.6258 -3.8936
0.0000 0.0000 0.0000
-1.3880 0.9715 -2.6543
-5.5048 7.5348 -5.3526
-2.9815 1.0020 -0.1489
-7.0983 7.5654 -2.8472

***

Record 2
LiNpPbBr6 | the Alexandria database | GGA-PBE | relaxed; formation energy (no corrections) = -1.21 eV per atom; total DFT energy (no corrections) = -0.161 hartree per atom; calculated volume = 301.3 Å³/f.u.; D(E_F) = 0.934 states/eV/atom; crystal system = trigonal
1.0
-1.8274 -0.6259 -6.9689
2.5509 -5.7310 3.5980
-12.3953 -3.2911 3.5458
Li Np Pb Br
2 2 2 12
Cartesian
-2.0073 -4.8521 0.9622
-9.6644 -4.7960 -0.7872
-3.4668 -3.1504 -2.5602
-8.2049 -6.4977 2.7351
0.0000 0.0000 0.0000
-6.1976 -1.6456 1.7729
-1.1189 -4.5801 -1.6625
-0.7232 -2.4841 1.6663
-8.4346 -2.3646 -0.2144
-10.9485 -7.1639 -1.4914
-4.3041 -3.4819 0.1878
-2.9364 -4.9739 3.5840
-11.9474 -3.3391 -1.4332
-3.2371 -7.2834 0.3893
-8.7353 -4.6742 -3.4091
0.2757 -6.3090 1.6081
-7.3676 -6.1661 -0.0129
-10.5528 -5.0679 1.8374

***

Record 3
Li2PuNpBr8 | the Alexandria database | GGA-PBE | relaxed; formation energy (no corrections) = -1.42 eV per atom; total DFT energy (no corrections) = -0.188 hartree per atom; calculated volume = 394.7 Å³/f.u.; D(E_F) = 1.410 states/eV/atom; crystal system = triclinic
1.0
-1.5174 6.6093 -1.3450
-4.3750 -0.6003 5.0514
5.9367 2.5915 5.5724
Li Pu Np Br
2 1 1 8
Cartesian
1.4754 4.9389 6.0009
-1.4311 3.6617 3.2779
2.9683 1.2958 2.7862
0.0000 0.0000 0.0000
-2.2268 1.3239 5.0969
1.7847 6.6098 8.2312
-0.7441 5.9693 1.3590
2.2711 7.2766 4.1819
-1.7404 1.9908 1.0476
0.7885 2.6313 7.9197
-1.1671 5.2983 5.4450
1.2114 3.3022 3.8338

***

Record 4
RbLi2NpBr6 | the Alexandria database | GGA-PBE | relaxed; formation energy (no corrections) = -1.47 eV per atom; total DFT energy (no corrections) = -0.156 hartree per atom; calculated volume = 320.4 Å³/f.u.; D(E_F) = 0.496 states/eV/atom; crystal system = trigonal
1.0
-2.5836 2.7057 -6.4009
1.1644 -3.6899 -6.3233
-6.2338 -3.6930 -3.3386
Rb Li Np Br
1 2 1 6
Cartesian
-4.9854 -3.0672 -12.1650
-3.5373 -2.1700 -8.0763
-6.0202 -3.5677 -3.3720
-0.7100 -0.4664 -4.2045
-2.7100 -0.1957 -6.3069
-1.0851 -3.4720 -8.1498
-3.0759 -0.6567 -10.3608
-4.6200 -4.6355 -9.2365
-6.3560 -1.4536 -8.4524
-4.7795 -3.4242 -5.7348

***

Record 5
SrLiNpBr6 | the Alexandria database | GGA-PBE | relaxed; formation energy (no corrections) = -1.61 eV per atom; total DFT energy (no corrections) = -0.168 hartree per atom; calculated volume = 306.0 Å³/f.u.; D(E_F) = 1.076 states/eV/atom; crystal system = trigonal
1.0
-2.7036 6.6004 -1.2673
-3.3977 -4.4926 4.5555
7.2218 4.9249 10.2433
Sr Li Np Br
2 2 2 12
Cartesian
0.0000 0.0000 0.0000
3.6109 2.4625 5.1216
-1.3609 0.4363 5.1754
2.4814 6.5964 8.3561
-1.1295 4.1339 3.2344
2.2500 2.8987 10.2970
-3.0139 1.9495 3.5100
-0.2970 -0.8825 2.9562
3.5538 5.4142 6.0652
1.4175 7.9152 10.5752
0.5155 2.4933 4.9666
0.4091 -1.0476 6.7441
4.4662 8.5462 8.1225
-2.4333 1.6185 7.4662
0.7114 8.0803 6.7873
-3.3457 -1.5135 5.4090
0.6049 4.5394 8.5648
4.1344 5.0831 10.0214

***

Record 6
LiNpTlBr5 | the Alexandria database | GGA-PBE | relaxed; formation energy (no corrections) = -1.25 eV per atom; total DFT energy (no corrections) = -0.163 hartree per atom; calculated volume = 294.6 Å³/f.u.; D(E_F) = 0.735 states/eV/atom; crystal system = monoclinic
1.0
7.9570 -0.0206 -0.0900
-2.3425 7.6044 -0.0900
-2.4404 -3.2964 9.8226
Li Np Tl Br
2 2 2 10
Cartesian
4.1549 1.5184 2.3657
-0.9808 2.7689 7.2770
-1.2202 -1.6482 4.9113
0.0000 0.0000 0.0000
0.7498 4.0393 2.3657
2.4243 0.2481 7.2770
-2.0137 6.0852 2.3657
5.1878 -1.7978 7.2770
6.2793 2.0328 1.0580
-3.1052 2.2546 8.5846
4.2830 -0.6636 3.6734
-1.1090 4.9510 5.9693
3.4485 3.2619 4.1492
-0.2744 1.0254 5.4934
2.2811 1.6851 0.5822
0.8930 2.6023 9.0605

***

Record 7
LiNp2TlBr8 | the Alexandria database | GGA-PBE | relaxed; formation energy (no corrections) = -1.25 eV per atom; total DFT energy (no corrections) = -0.179 hartree per atom; calculated volume = 443.9 Å³/f.u.; D(E_F) = 0.798 states/eV/atom; crystal system = triclinic
1.0
7.2224 0.3110 0.0229
0.4288 6.9216 -0.0537
0.0433 -0.0488 8.9049
Li Np Tl Br
1 2 1 8
Cartesian
0.0000 0.0000 0.0000
3.8626 3.5735 6.7342
3.8319 3.6102 2.1398
0.0216 -0.0244 4.4524
1.5716 5.3334 1.8296
5.0063 5.1916 -0.0179
6.1201 1.9165 1.9503
6.1229 1.8504 7.0444
2.6882 1.9921 8.8919
1.5744 5.2673 6.9237
4.9309 5.0968 4.4417
2.7636 2.0870 4.4323

***

Record 8
Li2NpTlBr6 | the Alexandria database | GGA-PBE | relaxed; formation energy (no corrections) = -1.28 eV per atom; total DFT energy (no corrections) = -0.154 hartree per atom; calculated volume = 313.5 Å³/f.u.; D(E_F) = 0.504 states/eV/atom; crystal system = trigonal
1.0
-6.5541 1.4296 -3.0078
-5.8437 -4.0767 1.8093
-5.5175 3.3313 4.6215
Li Np Tl Br
2 1 1 6
Cartesian
-8.8962 0.1524 1.4852
-5.4765 3.2013 4.4662
-4.1879 -0.7131 -0.1984
-13.2241 -0.1300 1.8013
-6.7825 0.6028 -0.2635
-8.2512 -2.5125 1.9454
-10.7431 -0.3969 -0.5176
-10.6566 -0.0581 3.7968
-10.0193 2.8405 1.5406
-7.2276 1.3810 3.5349

***

Record 9
LiNpTlBr6 | the Alexandria database | GGA-PBE | relaxed; formation energy (no corrections) = -1.24 eV per atom; total DFT energy (no corrections) = -0.157 hartree per atom; calculated volume = 327.6 Å³/f.u.; D(E_F) = 0.464 states/eV/atom; crystal system = trigonal
1.0
7.1905 0.0000 0.0000
-3.5952 6.2271 0.0000
0.0000 0.0000 14.6339
Li Np Tl Br
2 2 2 12
Cartesian
0.0000 4.1514 3.6585
3.5952 2.0757 10.9754
3.5952 2.0757 3.6585
0.0000 4.1514 10.9754
0.0000 0.0000 0.0000
0.0000 0.0000 7.3170
2.2807 3.9426 2.0685
5.8693 2.2807 2.0685
-0.9595 6.2234 9.3855
-2.2741 3.9464 12.5654
1.3211 2.2807 5.2485
4.9098 3.9426 5.2485
0.9595 6.2234 12.5654
4.5548 0.0038 5.2485
-1.3146 2.2845 9.3855
2.6357 0.0038 2.0685
2.2741 3.9464 9.3855
1.3146 2.2845 12.5654

***

Record 10
Li2NpTlBr8 | the Alexandria database | GGA-PBE | relaxed; formation energy (no corrections) = -1.14 eV per atom; total DFT energy (no corrections) = -0.141 hartree per atom; calculated volume = 430.1 Å³/f.u.; D(E_F) = 0.674 states/eV/atom; crystal system = monoclinic
1.0
6.7887 0.5899 -0.0075
0.5978 6.6750 -0.0065
0.0112 0.0100 9.5664
Li Np Tl Br
2 1 1 8
Cartesian
3.6996 3.6409 6.3176
3.6982 3.6340 3.2348
0.0000 0.0000 0.0000
0.0056 0.0050 4.7832
1.8444 5.2302 1.9409
5.4093 5.5414 9.5548
5.5465 2.0369 1.9414
5.5533 2.0447 7.6115
1.9885 1.7335 -0.0024
1.8512 5.2380 7.6110
5.0408 5.0037 4.7732
2.3569 2.2712 4.7792